Run a
# CrCoOs2

A crystal of CrCoOs2 relaxed with PBEsol (SCAN, Alexandria).

As for the density of states at the Fermi level: 3.1 states/eV/f.u.

It has space group I4/mmm (No. 139), with a = 3.728 Å, b = 3.728 Å, c = 7.106 Å, α = 90.00°, β = 90.00° and γ = 90.00°. The inequivalent atoms are Cr at (0.000, 0.000, 0.000), Co at (0.000, 0.000, 0.500) and Os at (0.000, 0.500, 0.250).

=====

Run b
# CrCoOs2

A crystal of CrCoOs2 relaxed with PBEsol (SCAN, Alexandria).

As for the density of states at the Fermi level: 3.5 states/eV/f.u.

It has space group Cmmm (No. 65), with a = 5.260 Å, b = 7.136 Å, c = 2.636 Å, α = 90.00°, β = 90.00° and γ = 90.00°. The inequivalent atoms are Cr at (0.000, 0.000, 0.000), Co at (0.000, 0.500, 0.000) and Os at (0.250, 0.250, 0.500).

=====

Of them, run a has the highest stability.

=====

Run a
# CrCoOs2

A crystal of CrCoOs2 relaxed with PBEsol (SCAN, Alexandria).

As for the density of states at the Fermi level: 3.0 states/eV/f.u.

It has space group Immm (No. 71), with a = 2.749 Å, b = 4.243 Å, c = 9.035 Å, α = 90.00°, β = 90.00° and γ = 90.00°. The inequivalent atoms are Cr at (0.000, 0.000, 0.000), Co at (0.000, 0.000, 0.500) and Os at (0.000, 0.500, 0.281).

=====

Run b
# CrCoOs2

A crystal of CrCoOs2 relaxed with PBEsol (SCAN, Alexandria).

As for the density of states at the Fermi level: 4.6 states/eV/f.u.

It has space group F-43m (No. 216), with a = 5.881 Å, b = 5.881 Å, c = 5.881 Å, α = 90.00°, β = 90.00° and γ = 90.00°. The inequivalent atoms are Cr at (0.000, 0.000, 0.000), Co at (0.250, 0.250, 0.750), Os at (0.000, 0.000, 0.500) and Os at (0.250, 0.250, 0.250).

=====

Run c
# CrCoOs2

A crystal of CrCoOs2 relaxed with PBEsol (SCAN, Alexandria).

As for the density of states at the Fermi level: 3.5 states/eV/f.u.

It has space group I-4m2 (No. 119), with a = 3.668 Å, b = 3.668 Å, c = 7.351 Å, α = 90.00°, β = 90.00° and γ = 90.00°. The inequivalent atoms are Cr at (0.000, 0.000, 0.000), Co at (0.000, 0.500, 0.750), Os at (0.000, 0.000, 0.500) and Os at (0.000, 0.500, 0.250).

=====

Of them, run c has the highest stability.

=====

Run a
# CrCoOs2

A crystal of CrCoOs2 relaxed with PBEsol (SCAN, Alexandria).

As for the density of states at the Fermi level: 4.2 states/eV/f.u.

It has space group Pmmm (No. 47), with a = 2.613 Å, b = 3.609 Å, c = 5.254 Å, α = 90.00°, β = 90.00° and γ = 90.00°. The inequivalent atoms are Cr at (0.000, 0.000, 0.000), Co at (0.000, 0.000, 0.500) and Os at (0.500, 0.500, 0.252).

=====

Run b
# CrCoOs2

A crystal of CrCoOs2 relaxed with PBEsol (SCAN, Alexandria).

As for the density of states at the Fermi level: 3.3 states/eV/f.u.

It has space group Amm2 (No. 38), with a = 3.956 Å, b = 2.626 Å, c = 9.471 Å, α = 90.00°, β = 90.00° and γ = 90.00°. The inequivalent atoms are Cr at (0.000, 0.000, 0.000), Co at (0.500, 0.000, 0.124), Os at (0.000, 0.000, 0.732) and Os at (0.500, 0.000, 0.388).

=====

Of them, run b has the highest stability.